# Rb2AlCoF6

Rb2AlCoF6 after structural relaxation (GGA+U, Alexandria via LeMat-Bulk).

abc: 5.893 5.893 5.893
angles: 119.81 119.81 90.33
Fractional coordinates of all 10 atoms:
Rb  0.250  0.750  0.500
Rb  0.750  0.250  0.500
Al  0.000  0.000  0.000
Co  0.500  0.500  0.000
F  0.221  0.221  0.442
F  0.221  0.779  0.000
F  0.223  0.223  0.000
F  0.777  0.777  0.000
F  0.779  0.221  0.000
F  0.779  0.779  0.558

Summary:
symmetry	I4/mmm (139)
size of the total moment	2.00	μB per formula unit
DFT total energy	-4.961	eV/atom